[1]
{"formula": "Cs2AgF6", "functional": "PBE-GGA", "state": "relaxed", "volume_a3_per_atom": 17.58, "rho_g_cm3": 5.12, "spacegroup": "Fm-3m (225)", "total_energy_ev_per_fu": -31.63, "cell": [[0.000, 4.293, 4.293], [4.293, 0.000, 4.293], [4.293, 4.293, 0.000]], "species": ["Cs", "Cs", "Ag", "F", "F", "F", "F", "F", "F"], "fractional_positions": [[0.250, 0.250, 0.250], [0.750, 0.750, 0.750], [0.000, 0.000, 0.000], [0.235, 0.235, 0.765], [0.235, 0.765, 0.235], [0.235, 0.765, 0.765], [0.765, 0.235, 0.235], [0.765, 0.235, 0.765], [0.765, 0.765, 0.235]]}

***

[2]
{"formula": "CsAg7F12", "functional": "PBE-GGA", "state": "relaxed", "volume_a3_per_atom": 14.96, "rho_g_cm3": 6.19, "spacegroup": "Im-3 (204)", "total_energy_ev_per_fu": -68.52, "cell": [[-4.214, 4.214, 4.214], [4.214, -4.214, 4.214], [4.214, 4.214, -4.214]], "species": ["Cs", "Ag", "Ag", "Ag", "Ag", "Ag", "Ag", "Ag", "F", "F", "F", "F", "F", "F", "F", "F", "F", "F", "F", "F"], "fractional_positions": [[0.000, 0.000, 0.000], [0.000, 0.000, 0.500], [0.000, 0.500, 0.000], [0.000, 0.500, 0.500], [0.500, 0.000, 0.000], [0.500, 0.000, 0.500], [0.500, 0.500, 0.000], [0.500, 0.500, 0.500], [0.126, 0.814, 0.312], [0.186, 0.312, 0.498], [0.186, 0.688, 0.874], [0.312, 0.126, 0.814], [0.312, 0.498, 0.186], [0.498, 0.186, 0.312], [0.502, 0.814, 0.688], [0.688, 0.502, 0.814], [0.688, 0.874, 0.186], [0.814, 0.312, 0.126], [0.814, 0.688, 0.502], [0.874, 0.186, 0.688]]}

***

[3]
{"formula": "Cs2LiAgF6", "functional": "PBE-GGA", "state": "relaxed", "volume_a3_per_atom": 14.51, "rho_g_cm3": 5.66, "spacegroup": "Fm-3m (225)", "total_energy_ev_per_fu": -38.07, "cell": [[0.000, 4.170, 4.170], [4.170, 0.000, 4.170], [4.170, 4.170, 0.000]], "species": ["Cs", "Cs", "Li", "Ag", "F", "F", "F", "F", "F", "F"], "fractional_positions": [[0.250, 0.250, 0.250], [0.750, 0.750, 0.750], [0.000, 0.000, 0.000], [0.500, 0.500, 0.500], [0.246, 0.246, 0.754], [0.246, 0.754, 0.246], [0.246, 0.754, 0.754], [0.754, 0.246, 0.246], [0.754, 0.246, 0.754], [0.754, 0.754, 0.246]]}

***

[4]
{"formula": "Cs2AgPtF6", "functional": "PBE-GGA", "state": "relaxed", "volume_a3_per_atom": 16.58, "rho_g_cm3": 6.84, "spacegroup": "Fm-3m (225)", "total_energy_ev_per_fu": -39.80, "cell": [[0.000, 4.360, 4.360], [4.360, 0.000, 4.360], [4.360, 4.360, 0.000]], "species": ["Cs", "Cs", "Ag", "Pt", "F", "F", "F", "F", "F", "F"], "fractional_positions": [[0.250, 0.250, 0.250], [0.750, 0.750, 0.750], [0.000, 0.000, 0.000], [0.500, 0.500, 0.500], [0.261, 0.261, 0.739], [0.261, 0.739, 0.261], [0.261, 0.739, 0.739], [0.739, 0.261, 0.261], [0.739, 0.261, 0.739], [0.739, 0.739, 0.261]]}

***

[5]
{"formula": "CsScAg2F6", "functional": "PBE-GGA", "state": "relaxed", "volume_a3_per_atom": 19.20, "rho_g_cm3": 4.39, "spacegroup": "Fm-3m (225)", "total_energy_ev_per_fu": -46.51, "cell": [[0.000, 4.579, 4.579], [4.579, 0.000, 4.579], [4.579, 4.579, 0.000]], "species": ["Cs", "Sc", "Ag", "Ag", "F", "F", "F", "F", "F", "F"], "fractional_positions": [[0.000, 0.000, 0.000], [0.500, 0.500, 0.500], [0.250, 0.250, 0.250], [0.750, 0.750, 0.750], [0.283, 0.283, 0.717], [0.283, 0.717, 0.283], [0.283, 0.717, 0.717], [0.717, 0.283, 0.283], [0.717, 0.283, 0.717], [0.717, 0.717, 0.283]]}

***

[6]
{"formula": "Cs2TcAgF6", "functional": "PBE-GGA", "state": "relaxed", "volume_a3_per_atom": 16.33, "rho_g_cm3": 5.96, "spacegroup": "R-3m (166)", "total_energy_ev_per_fu": -46.48, "cell": [[3.032, 1.751, 5.128], [-3.032, 1.751, 5.128], [0.000, -3.501, 5.128]], "species": ["Cs", "Cs", "Tc", "Ag", "F", "F", "F", "F", "F", "F"], "fractional_positions": [[0.241, 0.241, 0.241], [0.759, 0.759, 0.759], [0.000, 0.000, 0.000], [0.500, 0.500, 0.500], [0.233, 0.233, 0.745], [0.233, 0.745, 0.233], [0.255, 0.767, 0.767], [0.745, 0.233, 0.233], [0.767, 0.255, 0.767], [0.767, 0.767, 0.255]]}

***

[7]
{"formula": "CsTlAg2F6", "functional": "PBE-GGA", "state": "relaxed", "volume_a3_per_atom": 20.97, "rho_g_cm3": 5.28, "spacegroup": "Fm-3m (225)", "total_energy_ev_per_fu": -33.81, "cell": [[0.000, 4.715, 4.715], [4.715, 0.000, 4.715], [4.715, 4.715, 0.000]], "species": ["Cs", "Tl", "Ag", "Ag", "F", "F", "F", "F", "F", "F"], "fractional_positions": [[0.000, 0.000, 0.000], [0.500, 0.500, 0.500], [0.250, 0.250, 0.250], [0.750, 0.750, 0.750], [0.273, 0.273, 0.727], [0.273, 0.727, 0.273], [0.273, 0.727, 0.727], [0.727, 0.273, 0.273], [0.727, 0.273, 0.727], [0.727, 0.727, 0.273]]}

***

[8]
{"formula": "Cs2ZnAgF6", "functional": "PBE-GGA", "state": "relaxed", "volume_a3_per_atom": 15.36, "rho_g_cm3": 5.98, "spacegroup": "Fm-3m (225)", "total_energy_ev_per_fu": -38.28, "cell": [[0.000, 4.251, 4.251], [4.251, 0.000, 4.251], [4.251, 4.251, 0.000]], "species": ["Cs", "Cs", "Zn", "Ag", "F", "F", "F", "F", "F", "F"], "fractional_positions": [[0.250, 0.250, 0.250], [0.750, 0.750, 0.750], [0.000, 0.000, 0.000], [0.500, 0.500, 0.500], [0.236, 0.236, 0.764], [0.236, 0.764, 0.236], [0.236, 0.764, 0.764], [0.764, 0.236, 0.236], [0.764, 0.236, 0.764], [0.764, 0.764, 0.236]]}

***

[9]
{"formula": "CsFeAgSe2S", "functional": "PBE-GGA", "state": "relaxed", "volume_a3_per_atom": 26.58, "rho_g_cm3": 5.07, "spacegroup": "Cmcm (63)", "total_energy_ev_per_fu": -24.76, "cell": [[1.869, -7.879, 0.000], [1.869, 7.879, 0.000], [0.000, 0.000, 10.832]], "species": ["Cs", "Cs", "Fe", "Fe", "Ag", "Ag", "Se", "Se", "Se", "Se", "S", "S"], "fractional_positions": [[0.247, 0.753, 0.750], [0.753, 0.247, 0.250], [0.500, 0.500, 0.000], [0.500, 0.500, 0.500], [0.036, 0.964, 0.250], [0.964, 0.036, 0.750], [0.102, 0.898, 0.029], [0.102, 0.898, 0.471], [0.898, 0.102, 0.529], [0.898, 0.102, 0.971], [0.434, 0.566, 0.250], [0.566, 0.434, 0.750]]}

***

[10]
{"formula": "CsFeAgSeS2", "functional": "PBE-GGA", "state": "relaxed", "volume_a3_per_atom": 24.98, "rho_g_cm3": 4.87, "spacegroup": "Cmcm (63)", "total_energy_ev_per_fu": -25.51, "cell": [[1.805, -8.088, 0.000], [1.805, 8.088, 0.000], [0.000, 0.000, 10.263]], "species": ["Cs", "Cs", "Fe", "Fe", "Ag", "Ag", "Se", "Se", "S", "S", "S", "S"], "fractional_positions": [[0.244, 0.756, 0.750], [0.756, 0.244, 0.250], [0.000, 0.000, 0.000], [0.000, 0.000, 0.500], [0.449, 0.551, 0.250], [0.551, 0.449, 0.750], [0.067, 0.933, 0.250], [0.933, 0.067, 0.750], [0.407, 0.593, 0.021], [0.407, 0.593, 0.479], [0.593, 0.407, 0.521], [0.593, 0.407, 0.979]]}

***

[11]
{"formula": "CsFeAgTeS2", "functional": "PBE-GGA", "state": "relaxed", "volume_a3_per_atom": 27.68, "rho_g_cm3": 4.88, "spacegroup": "Cmcm (63)", "total_energy_ev_per_fu": -25.06, "cell": [[1.777, -8.628, 0.000], [1.777, 8.628, 0.000], [0.000, 0.000, 10.831]], "species": ["Cs", "Cs", "Fe", "Fe", "Ag", "Ag", "Te", "Te", "S", "S", "S", "S"], "fractional_positions": [[0.227, 0.773, 0.750], [0.773, 0.227, 0.250], [0.000, 0.000, 0.000], [0.000, 0.000, 0.500], [0.453, 0.547, 0.250], [0.547, 0.453, 0.750], [0.081, 0.919, 0.250], [0.919, 0.081, 0.750], [0.414, 0.586, 0.032], [0.414, 0.586, 0.468], [0.586, 0.414, 0.532], [0.586, 0.414, 0.968]]}

***

[12]
{"formula": "CsFeAgTeSe2", "functional": "PBE-GGA", "state": "relaxed", "volume_a3_per_atom": 28.56, "rho_g_cm3": 5.64, "spacegroup": "Cmcm (63)", "total_energy_ev_per_fu": -23.83, "cell": [[1.865, -8.711, 0.000], [1.865, 8.711, 0.000], [0.000, 0.000, 10.551]], "species": ["Cs", "Cs", "Fe", "Fe", "Ag", "Ag", "Te", "Te", "Se", "Se", "Se", "Se"], "fractional_positions": [[0.236, 0.764, 0.750], [0.764, 0.236, 0.250], [0.000, 0.000, 0.000], [0.000, 0.000, 0.500], [0.450, 0.550, 0.250], [0.550, 0.450, 0.750], [0.070, 0.930, 0.250], [0.930, 0.070, 0.750], [0.399, 0.601, 0.022], [0.399, 0.601, 0.478], [0.601, 0.399, 0.522], [0.601, 0.399, 0.978]]}

***

[13]
{"formula": "CsGa2AgSe4", "functional": "PBE-GGA", "state": "relaxed", "volume_a3_per_atom": 30.53, "rho_g_cm3": 4.73, "spacegroup": "P2_1/c (14)", "total_energy_ev_per_fu": -29.55, "cell": [[11.522, 0.000, 0.000], [0.000, 8.041, 0.000], [-4.804, 0.000, 21.089]], "species": ["Cs", "Cs", "Cs", "Cs", "Cs", "Cs", "Cs", "Cs", "Ga", "Ga", "Ga", "Ga", "Ga", "Ga", "Ga", "Ga", "Ga", "Ga", "Ga", "Ga", "Ga", "Ga", "Ga", "Ga", "Ag", "Ag", "Ag", "Ag", "Ag", "Ag", "Ag", "Ag", "Se", "Se", "Se", "Se", "Se", "Se", "Se", "Se", "Se", "Se", "Se", "Se", "Se", "Se", "Se", "Se", "Se", "Se", "Se", "Se", "Se", "Se", "Se", "Se", "Se", "Se", "Se", "Se", "Se", "Se", "Se", "Se"], "fractional_positions": [[0.094, 0.250, 0.080], [0.094, 0.250, 0.580], [0.150, 0.245, 0.326], [0.150, 0.255, 0.826], [0.850, 0.745, 0.174], [0.850, 0.755, 0.674], [0.906, 0.750, 0.420], [0.906, 0.750, 0.920], [0.239, 0.747, 0.718], [0.239, 0.753, 0.218], [0.268, 0.743, 0.899], [0.268, 0.757, 0.399], [0.269, 0.744, 0.048], [0.269, 0.756, 0.548], [0.498, 0.008, 0.170], [0.498, 0.492, 0.670], [0.502, 0.508, 0.330], [0.502, 0.992, 0.830], [0.731, 0.244, 0.452], [0.731, 0.256, 0.952], [0.732, 0.243, 0.601], [0.732, 0.257, 0.101], [0.761, 0.247, 0.782], [0.761, 0.253, 0.282], [0.390, 0.197, 0.989], [0.390, 0.303, 0.489], [0.490, 0.011, 0.324], [0.490, 0.489, 0.824], [0.510, 0.511, 0.176], [0.510, 0.989, 0.676], [0.610, 0.697, 0.511], [0.610, 0.803, 0.011], [0.119, 0.716, 0.110], [0.119, 0.784, 0.610], [0.120, 0.719, 0.800], [0.120, 0.781, 0.300], [0.217, 0.530, 0.467], [0.217, 0.970, 0.967], [0.249, 0.513, 0.972], [0.249, 0.987, 0.472], [0.322, 0.032, 0.216], [0.322, 0.468, 0.716], [0.334, 0.018, 0.739], [0.334, 0.482, 0.239], [0.480, 0.749, 0.395], [0.480, 0.751, 0.895], [0.482, 0.733, 0.599], [0.482, 0.767, 0.099], [0.518, 0.233, 0.901], [0.518, 0.267, 0.401], [0.520, 0.249, 0.105], [0.520, 0.251, 0.605], [0.666, 0.518, 0.761], [0.666, 0.982, 0.261], [0.678, 0.532, 0.284], [0.678, 0.968, 0.784], [0.751, 0.013, 0.528], [0.751, 0.487, 0.028], [0.783, 0.030, 0.033], [0.783, 0.470, 0.533], [0.880, 0.219, 0.700], [0.880, 0.281, 0.200], [0.881, 0.216, 0.390], [0.881, 0.284, 0.890]]}

***

[14]
{"formula": "CsGd2AgO4", "functional": "PBE-GGA", "state": "relaxed", "volume_a3_per_atom": 16.66, "rho_g_cm3": 7.71, "spacegroup": "P-6m2 (187)", "total_energy_ev_per_fu": -51.59, "cell": [[3.535, 0.000, 0.000], [-1.767, 3.061, 0.000], [0.000, 0.000, 12.317]], "species": ["Cs", "Gd", "Gd", "Ag", "O", "O", "O", "O"], "fractional_positions": [[0.000, 0.000, 0.000], [0.667, 0.333, 0.280], [0.667, 0.333, 0.720], [0.333, 0.667, 0.500], [0.000, 0.000, 0.369], [0.000, 0.000, 0.631], [0.333, 0.667, 0.186], [0.333, 0.667, 0.814]]}

***

[15]
{"formula": "CsGd2Ag3Te5", "functional": "PBE-GGA", "state": "relaxed", "volume_a3_per_atom": 31.86, "rho_g_cm3": 6.68, "spacegroup": "Cmcm (63)", "total_energy_ev_per_fu": -44.29, "cell": [[2.291, -8.197, 0.000], [2.291, 8.197, 0.000], [0.000, 0.000, 18.661]], "species": ["Cs", "Cs", "Gd", "Gd", "Gd", "Gd", "Ag", "Ag", "Ag", "Ag", "Ag", "Ag", "Te", "Te", "Te", "Te", "Te", "Te", "Te", "Te", "Te", "Te"], "fractional_positions": [[0.058, 0.942, 0.750], [0.942, 0.058, 0.250], [0.191, 0.809, 0.093], [0.191, 0.809, 0.407], [0.809, 0.191, 0.593], [0.809, 0.191, 0.907], [0.341, 0.659, 0.750], [0.415, 0.585, 0.033], [0.415, 0.585, 0.467], [0.585, 0.415, 0.533], [0.585, 0.415, 0.967], [0.659, 0.341, 0.250], [0.177, 0.823, 0.573], [0.177, 0.823, 0.927], [0.255, 0.745, 0.250], [0.437, 0.563, 0.619], [0.437, 0.563, 0.881], [0.563, 0.437, 0.119], [0.563, 0.437, 0.381], [0.745, 0.255, 0.750], [0.823, 0.177, 0.073], [0.823, 0.177, 0.427]]}

***

[16]
{"formula": "CsAgGe", "functional": "PBE-GGA", "state": "relaxed", "volume_a3_per_atom": 36.74, "rho_g_cm3": 4.72, "spacegroup": "F-43m (216)", "total_energy_ev_per_fu": -6.36, "cell": [[0.000, 3.805, 3.805], [3.805, 0.000, 3.805], [3.805, 3.805, 0.000]], "species": ["Cs", "Ag", "Ge"], "fractional_positions": [[0.000, 0.000, 0.000], [0.500, 0.500, 0.500], [0.750, 0.750, 0.750]]}

***

[17]
{"formula": "CsAgGe", "functional": "PBE-GGA", "state": "relaxed", "volume_a3_per_atom": 36.44, "rho_g_cm3": 4.76, "spacegroup": "F-43m (216)", "total_energy_ev_per_fu": -6.41, "cell": [[0.000, 3.795, 3.795], [3.795, 0.000, 3.795], [3.795, 3.795, 0.000]], "species": ["Cs", "Ag", "Ge"], "fractional_positions": [[0.000, 0.000, 0.000], [0.250, 0.250, 0.250], [0.500, 0.500, 0.500]]}

***

[18]
{"formula": "CsAgGe", "functional": "PBE-GGA", "state": "relaxed", "volume_a3_per_atom": 43.16, "rho_g_cm3": 4.02, "spacegroup": "F-43m (216)", "total_energy_ev_per_fu": -5.10, "cell": [[0.000, 4.015, 4.015], [4.015, 0.000, 4.015], [4.015, 4.015, 0.000]], "species": ["Cs", "Ag", "Ge"], "fractional_positions": [[0.000, 0.000, 0.000], [0.750, 0.750, 0.750], [0.250, 0.250, 0.250]]}

***

[19]
{"formula": "CsAgGeO3", "functional": "PBE-GGA", "state": "relaxed", "volume_a3_per_atom": 17.16, "rho_g_cm3": 5.83, "spacegroup": "Pnma (62)", "total_energy_ev_per_fu": -29.78, "cell": [[12.918, 0.000, 0.000], [0.000, 3.150, 0.000], [0.000, 0.000, 10.122]], "species": ["Cs", "Cs", "Cs", "Cs", "Ag", "Ag", "Ag", "Ag", "Ge", "Ge", "Ge", "Ge", "O", "O", "O", "O", "O", "O", "O", "O", "O", "O", "O", "O"], "fractional_positions": [[0.245, 0.250, 0.125], [0.255, 0.750, 0.625], [0.745, 0.250, 0.375], [0.755, 0.750, 0.875], [0.023, 0.250, 0.901], [0.477, 0.750, 0.401], [0.523, 0.250, 0.599], [0.977, 0.750, 0.099], [0.025, 0.250, 0.375], [0.475, 0.750, 0.875], [0.525, 0.250, 0.125], [0.975, 0.750, 0.625], [0.066, 0.750, 0.768], [0.070, 0.250, 0.549], [0.103, 0.750, 0.317], [0.397, 0.250, 0.817], [0.430, 0.750, 0.049], [0.434, 0.250, 0.268], [0.566, 0.750, 0.732], [0.570, 0.250, 0.951], [0.603, 0.750, 0.183], [0.897, 0.250, 0.683], [0.930, 0.750, 0.451], [0.934, 0.250, 0.232]]}